(1)
The following is a DFT calculation (GGA-PBE) of crystalline HfSc2ReI at its relaxed geometry.

The structure belongs to space group P4/mmm (No. 123); the cell edges are 5.4710, 5.4710 and 4.7341 Å and the angles 90.00°, 90.00° and 90.00°. Symmetry generates all atoms from Hf at (0.0000, 0.0000, 0.0000), Sc at (0.0000, 0.5000, 0.0000), Re at (0.0000, 0.0000, 0.5000) and I at (0.5000, 0.5000, 0.5000).

The density of states at the Fermi level is 5.484 states/eV/cell. The calculation puts the raw formation energy at 1.152 eV per atom.


(2)
The following is a DFT calculation (GGA-PBE) of crystalline PmRe2N4 at its relaxed geometry.

The structure belongs to space group Fdd2 (No. 43); the cell edges are 10.9180, 11.6136 and 6.4537 Å and the angles 90.00°, 90.00° and 90.00°. Symmetry generates all atoms from Pm at (0.0000, 0.0000, 0.0000), Re at (0.1054, 0.1859, 0.6880), N at (0.0624, 0.3720, 0.1715) and N at (0.0933, 0.3500, 0.7006).

The density of states at the Fermi level is 22.345 states/eV/cell. The calculation puts the raw formation energy at -0.277 eV per atom.


(3)
The following is a DFT calculation (GGA-PBE) of crystalline MnCo2As at its relaxed geometry.

The structure belongs to space group Imm2 (No. 44); the cell edges are 3.5409, 3.5665 and 7.5875 Å and the angles 90.00°, 90.00° and 90.00°. Symmetry generates all atoms from Mn at (0.0000, 0.0000, 0.0000), Co at (0.0000, 0.0000, 0.4999), Co at (0.0000, 0.5000, 0.2502) and As at (0.0000, 0.5000, 0.7501).

The density of states at the Fermi level is 6.711 states/eV/cell. The value obtained for the formation energy is -36 meV/atom.


(4)
The following is a DFT calculation (GGA-PBE) of crystalline TmZrInCu at its relaxed geometry.

The structure belongs to space group F-43m (No. 216); the cell edges are 7.0215, 7.0215 and 7.0215 Å and the angles 90.00°, 90.00° and 90.00°. Symmetry generates all atoms from Tm at (0.0000, 0.0000, 0.0000), Zr at (0.0000, 0.0000, 0.5000), In at (0.2500, 0.2500, 0.2500) and Cu at (0.2500, 0.2500, 0.7500).

The density of states at the Fermi level is 13.039 states/eV/cell. The value obtained for the formation energy is -172 meV/atom.


(5)
The following is a DFT calculation (GGA-PBE) of crystalline Pm2YTm9 at its relaxed geometry.

The structure belongs to space group P4/mmm (No. 123); the cell edges are 5.8117, 5.8117 and 11.0998 Å and the angles 90.00°, 90.00° and 90.00°. Symmetry generates all atoms from Pm at (0.0000, 0.0000, 0.1660), Y at (0.0000, 0.0000, 0.5000), Tm at (0.0000, 0.5000, 0.0000), Tm at (0.0000, 0.5000, 0.3351), Tm at (0.5000, 0.5000, 0.1660) and Tm at (0.5000, 0.5000, 0.5000).

The density of states at the Fermi level is 24.011 states/eV/cell. The value obtained for the formation energy is 127 meV/atom.


(6)
The following is a DFT calculation (GGA-PBE) of crystalline MgAs2Ru at its relaxed geometry.

The structure belongs to space group Cmmm (No. 65); the cell edges are 5.6777, 7.0490 and 3.2722 Å and the angles 90.00°, 90.00° and 90.00°. Symmetry generates all atoms from Mg at (0.0000, 0.0000, 0.0000), As at (0.2500, 0.2500, 0.5000) and Ru at (0.0000, 0.5000, 0.0000).

The density of states at the Fermi level is 6.149 states/eV/cell. The value obtained for the formation energy is -21 meV/atom.


(7)
The following is a DFT calculation (GGA-PBE) of crystalline ScNbN at its relaxed geometry.

The structure belongs to space group P-3m1 (No. 164); the cell edges are 3.1064, 3.1064 and 10.3284 Å and the angles 90.00°, 90.00° and 120.00°. Symmetry generates all atoms from Sc at (0.0000, 0.0000, 0.0000), Sc at (0.0000, 0.0000, 0.5000), Nb at (0.3333, 0.6667, 0.2462) and N at (0.3333, 0.6667, 0.6286).

The density of states at the Fermi level is 2.721 states/eV/cell. The calculation puts the raw formation energy at -1.008 eV per atom.


(8)
The following is a DFT calculation (GGA-PBE) of crystalline TcMo2Os at its relaxed geometry.

The structure belongs to space group Fm-3m (No. 225); the cell edges are 6.2516, 6.2516 and 6.2516 Å and the angles 90.00°, 90.00° and 90.00°. Symmetry generates all atoms from Tc at (0.0000, 0.0000, 0.0000), Mo at (0.2500, 0.2500, 0.2500) and Os at (0.0000, 0.0000, 0.5000).

The density of states at the Fermi level is 25.875 states/eV/cell. The value obtained for the formation energy is 217 meV/atom.